VASP calculation (PBE+U) on a relaxed structure of ErCrP2O8. Values from VASP.

Computed properties:
total magnetic moment: 0.248 μB per atom
final energy: -91.6 eV/cell
symmetry: I-4m2, No. 119

Structure (Quantum ESPRESSO input):
```
&SYSTEM
  ibrav = 0, nat = 12, ntyp = 4
/
ATOMIC_SPECIES
O 16.00 O.upf
P 30.97 P.upf
Cr 52.00 Cr.upf
Er 167.26 Er.upf
CELL_PARAMETERS angstrom
5.594 0.029 0.000
-2.455 5.027 0.000
-1.570 -2.528 4.737
ATOMIC_POSITIONS angstrom
O 1.548 -0.362 1.506
O 3.013 -1.272 3.231
O 2.804 2.938 0.833
P 2.797 0.015 2.369
Cr 0.000 0.000 0.000
O -0.180 1.289 3.904
O 4.046 0.392 1.506
P 1.570 2.528 0.000
O 2.581 1.301 3.231
O 0.180 -1.289 3.904
Er -1.228 2.513 2.369
O 0.335 2.118 0.833
```